1.
The following is a DFT calculation (GGA-PBE) of a relaxed structure of Mg2Ta.

## Properties
* polymorph energy (0 for the lowest one): 41 meV per atom

Lattice parameters (Å, degrees): 13.461 8.343 4.924 90.00 90.00 63.87
Sites, in units of the cell vectors:
Ta 0.334 0.328 0.000
Mg 0.278 0.933 0.500
Mg 0.585 0.084 0.000
Mg 0.108 0.779 0.500
Mg 0.252 0.739 0.000
Ta 0.861 0.033 0.500
Mg 0.695 0.865 0.500
Mg 0.420 0.925 0.000
Ta 0.768 0.228 0.000
Ta 0.210 0.346 0.500
Mg 0.029 0.192 0.500
Mg 0.675 0.665 0.000
Mg 0.917 0.428 0.000
Mg 0.087 0.582 0.000
Mg 0.520 0.696 0.500
Mg 0.943 0.622 0.500
Mg 0.166 0.169 0.000
Ta 0.984 0.015 0.000
Mg 0.609 0.277 0.500
Mg 0.775 0.436 0.500
Ta 0.426 0.133 0.500
Mg 0.499 0.496 0.000
Ta 0.842 0.867 0.000
Ta 0.352 0.495 0.500


2.
The following is a DFT calculation (GGA-PBE) of a relaxed structure of MgTa.

## Properties
* raw total energy: -63.715 eV for the cell shown

Lattice parameters (Å, degrees): 5.152 8.016 4.870 90.00 90.00 71.26
Site moments in Bohr magnetons follow the coordinates.
Sites, in units of the cell vectors:
Ta 0.583 0.800 0.000  0.06
Mg 0.193 0.602 0.000  0.00
Ta 0.809 0.396 0.000  0.00
Mg 0.264 0.800 0.500  0.00
Ta 0.486 0.390 0.500  0.00
Ta 0.405 0.204 0.000  0.00
Ta 0.076 0.210 0.500  0.00
Mg 0.663 0.997 0.500  0.00
Mg 0.995 0.998 0.000  0.00
Mg 0.860 0.603 0.500  0.00


3.
The following is a DFT calculation (GGA-PBE) of a relaxed structure of MgTa.

## Properties
* raw total energy: -50.396 eV for the cell shown

Lattice parameters (Å, degrees): 5.208 5.915 4.872 90.00 90.00 90.00
Sites, in units of the cell vectors:
Mg 0.330 0.502 0.500
Ta 0.505 0.750 0.000
Mg 0.830 0.748 0.500
Mg 0.503 0.248 0.000
Ta 0.005 0.500 0.000
Ta 0.829 0.250 0.500
Ta 0.329 0.000 0.500
Mg 0.003 0.002 0.000


4.
The following is a DFT calculation (GGA-PBE) of a relaxed structure of Mg12Ta.

## Properties
* raw total energy: -26.791 eV for the cell shown

Lattice parameters (Å, degrees): 7.625 7.625 7.625 98.11 98.11 135.88
Sites, in units of the cell vectors:
Mg 0.702 0.500 0.202
Mg 0.000 0.344 0.344
Mg 0.298 0.500 0.798
Mg 0.656 0.000 0.656
Ta 0.000 0.000 0.000
Mg 0.000 0.000 0.500
Mg 0.500 0.000 0.000
Mg 0.000 0.500 0.000
Mg 0.500 0.500 0.500
Mg 0.500 0.702 0.202
Mg 0.000 0.656 0.656
Mg 0.344 0.000 0.344
Mg 0.500 0.298 0.798


Repeat the second record exactly.
The following is a DFT calculation (GGA-PBE) of a relaxed structure of MgTa.

## Properties
* raw total energy: -63.715 eV for the cell shown

Lattice parameters (Å, degrees): 5.152 8.016 4.870 90.00 90.00 71.26
Site moments in Bohr magnetons follow the coordinates.
Sites, in units of the cell vectors:
Ta 0.583 0.800 0.000  0.06
Mg 0.193 0.602 0.000  0.00
Ta 0.809 0.396 0.000  0.00
Mg 0.264 0.800 0.500  0.00
Ta 0.486 0.390 0.500  0.00
Ta 0.405 0.204 0.000  0.00
Ta 0.076 0.210 0.500  0.00
Mg 0.663 0.997 0.500  0.00
Mg 0.995 0.998 0.000  0.00
Mg 0.860 0.603 0.500  0.00